A plane-wave DFT calculation with GGA-PBE was carried out for a geometry-optimized ZrPbO3 structure.

Cell lengths 5.3908, 5.3908, 10.5068 Å; angles 90.00, 90.00, 90.00 degrees
Space group P4_1 (No. 76)
Symmetry-distinct sites (fractional):
Zr1 0.1957 0.7860 0.0000 [4 per cell]
Pb1 0.2464 0.7144 0.5169 [4 per cell]
O1 0.0143 0.4386 0.3661 [4 per cell]
O2 0.0220 0.9580 0.3855 [4 per cell]
O3 0.1769 0.4710 0.1104 [4 per cell]

Results
As for the total energy: -155.583 eV for the cell shown. The spin magnetization comes out at 0.00 μB per formula unit.


A plane-wave DFT calculation with GGA-PBE was carried out for a geometry-optimized ZrPbO3 structure.

Cell lengths 4.0242, 6.2208, 6.2356 Å; angles 90.00, 97.83, 90.00 degrees
Space group P2_1/m (No. 11)
Symmetry-distinct sites (fractional):
Zr1 0.0182 0.2500 0.4429 [2 per cell]
Pb1 0.3513 0.7500 0.1202 [2 per cell]
O1 0.0467 0.0214 0.7400 [4 per cell]
O2 0.4773 0.7500 0.4909 [2 per cell]

Results
As for the total energy: -77.504 eV for the cell shown. The spin magnetization comes out at 0.00 μB per formula unit.


A plane-wave DFT calculation with GGA-PBE was carried out for a geometry-optimized Zr5Pb3O structure.

Cell lengths 8.6016, 8.6016, 5.8540 Å; angles 90.00, 90.00, 120.00 degrees
Space group P6_3/mcm (No. 193)
Symmetry-distinct sites (fractional):
Zr1 0.0000 0.2252 0.2500 [6 per cell]
Zr2 0.3333 0.6667 0.0000 [4 per cell]
Pb1 0.0000 0.4016 0.7500 [6 per cell]
O1 0.0000 0.0000 0.0000 [2 per cell]

Results
As for the total energy: -131.166 eV for the cell shown. The spin magnetization comes out at 0.02 μB per formula unit.


A plane-wave DFT calculation with GGA-PBE was carried out for a geometry-optimized ZrPbO3 structure.

Cell lengths 5.7443, 5.7443, 16.2380 Å; angles 90.00, 90.00, 120.00 degrees
Space group R-3 (No. 148, hexagonal axes)
Symmetry-distinct sites (fractional):
Zr1 0.0000 0.0000 0.1531 [6 per cell]
Pb1 0.0000 0.0000 0.3666 [6 per cell]
O1 0.0160 0.6123 0.4270 [18 per cell]

Results
As for the total energy: -234.624 eV for the cell shown. The spin magnetization comes out at 0.00 μB per formula unit.


A plane-wave DFT calculation with GGA-PBE was carried out for a geometry-optimized PdO structure.

Cell lengths 4.5134, 4.5134, 4.5134 Å; angles 90.00, 90.00, 90.00 degrees
Space group Fm-3m (No. 225)
Symmetry-distinct sites (fractional):
Pd1 0.0000 0.0000 0.0000 [4 per cell]
O1 0.0000 0.0000 0.5000 [4 per cell]

Results
As for the total energy: -40.432 eV for the cell shown.


A plane-wave DFT calculation with GGA-PBE was carried out for a geometry-optimized Pd4O11 structure.

Cell lengths 4.8837, 5.3464, 7.4672 Å; angles 106.11, 95.09, 110.70 degrees
Space group P1 (No. 1)
Symmetry-distinct sites (fractional):
Pd1 0.0000 0.0000 0.0000 [1 per cell]
Pd2 0.1491 0.4680 0.8197 [1 per cell]
Pd3 0.4871 0.4775 0.5035 [1 per cell]
Pd4 0.6627 0.9767 0.3505 [1 per cell]
O1 0.0302 0.9130 0.2698 [1 per cell]
O2 0.1812 0.4334 0.1305 [1 per cell]
O3 0.2790 0.0436 0.4149 [1 per cell]
O4 0.3674 0.9120 0.9270 [1 per cell]
O5 0.4655 0.5309 0.2375 [1 per cell]
O6 0.5226 0.4013 0.7611 [1 per cell]
O7 0.6180 0.0438 0.0734 [1 per cell]
O8 0.6744 0.9156 0.6217 [1 per cell]
O9 0.7843 0.5508 0.8997 [1 per cell]
O10 0.8990 0.3926 0.4989 [1 per cell]
O11 0.9623 0.0245 0.7217 [1 per cell]

Results
As for the energy above the most stable polymorph in this dataset: 0.0131 eV/atom.


A plane-wave DFT calculation with GGA-PBE was carried out for a geometry-optimized PdO4 structure.

Cell lengths 9.2421, 2.9558, 4.6942 Å; angles 90.00, 113.43, 90.00 degrees
Space group C2/m (No. 12)
Symmetry-distinct sites (fractional):
Pd1 0.0000 0.0000 0.0000 [2 per cell]
O1 0.0630 0.0000 0.4692 [4 per cell]
O2 0.1468 0.5000 0.0465 [4 per cell]

Results
As for the total energy: -48.037 eV for the cell shown.


A plane-wave DFT calculation with GGA-PBE was carried out for a geometry-optimized PdO2 structure.

Cell lengths 2.9159, 2.5785, 4.9857 Å; angles 90.00, 102.26, 90.00 degrees
Space group P2/m (No. 10)
Symmetry-distinct sites (fractional):
Pd1 0.0000 0.0000 0.0000 [1 per cell]
O1 0.4020 0.0000 0.7342 [2 per cell]

Results
As for the total energy: -14.484 eV for the cell shown.


A plane-wave DFT calculation with GGA-PBE was carried out for a geometry-optimized PdO2 structure.

Cell lengths 3.0451, 6.7729, 5.9874 Å; angles 90.00, 90.00, 90.00 degrees
Space group Cmcm (No. 63)
Symmetry-distinct sites (fractional):
Pd1 0.0000 0.0788 0.2500 [4 per cell]
O1 0.0000 0.2177 0.7500 [4 per cell]
O2 0.0000 0.5000 0.0000 [4 per cell]

Results
As for the total energy: -55.742 eV for the cell shown.


A plane-wave DFT calculation with GGA-PBE was carried out for a geometry-optimized PdO2 structure.

Cell lengths 2.7028, 2.7028, 8.6611 Å; angles 90.00, 90.00, 90.00 degrees
Space group I4/mmm (No. 139)
Symmetry-distinct sites (fractional):
Pd1 0.0000 0.0000 0.0000 [2 per cell]
O1 0.0000 0.0000 0.3673 [4 per cell]

Results
As for the total energy: -26.673 eV for the cell shown.


A plane-wave DFT calculation with GGA-PBE was carried out for a geometry-optimized PdO2 structure.

Cell lengths 5.5998, 3.2208, 3.9368 Å; angles 90.00, 118.55, 90.00 degrees
Space group C2/m (No. 12)
Symmetry-distinct sites (fractional):
Pd1 0.0000 0.0000 0.0000 [2 per cell]
O1 0.2489 0.5000 0.2444 [4 per cell]

Results
As for the total energy: -31.085 eV for the cell shown.


A plane-wave DFT calculation with GGA-PBE was carried out for a geometry-optimized PdO2 structure.

Cell lengths 8.7162, 8.7162, 8.7162 Å; angles 90.00, 90.00, 90.00 degrees
Space group Fd-3m (No. 227, origin choice 2)
Symmetry-distinct sites (fractional):
Pd1 0.1250 0.1250 0.1250 [8 per cell]
O1 0.0000 0.0000 0.0000 [16 per cell]

Results
As for the total energy: -113.710 eV for the cell shown.


A plane-wave DFT calculation with GGA-PBE was carried out for a geometry-optimized PdO2 structure.

Cell lengths 6.2292, 6.2292, 6.2292 Å; angles 90.00, 90.00, 90.00 degrees
Space group Fd-3m (No. 227, origin choice 2)
Symmetry-distinct sites (fractional):
Pd1 0.1250 0.1250 0.1250 [8 per cell]
O1 0.0000 0.0000 0.5000 [16 per cell]

Results
As for the total energy: -85.306 eV for the cell shown.


A plane-wave DFT calculation with GGA-PBE was carried out for a geometry-optimized Pd4O5 structure.

Cell lengths 3.8338, 3.8338, 7.6955 Å; angles 90.00, 90.00, 90.00 degrees
Space group P4/mmm (No. 123)
Symmetry-distinct sites (fractional):
Pd1 0.0000 0.0000 0.0000 [1 per cell]
Pd2 0.0000 0.0000 0.5000 [1 per cell]
Pd3 0.5000 0.5000 0.2330 [2 per cell]
O1 0.0000 0.5000 0.1650 [4 per cell]
O2 0.5000 0.5000 0.5000 [1 per cell]

Results
As for the total energy: -43.782 eV for the cell shown.


A plane-wave DFT calculation with GGA-PBE was carried out for a geometry-optimized PdO structure.

Cell lengths 9.3394, 9.3394, 2.9808 Å; angles 90.00, 90.00, 120.00 degrees
Space group R3m (No. 160, hexagonal axes)
Symmetry-distinct sites (fractional):
Pd1 0.0942 0.1885 0.0000 [9 per cell]
O1 0.2210 0.4421 0.1321 [9 per cell]

Results
As for the total energy: -90.401 eV for the cell shown.


A plane-wave DFT calculation with GGA-PBE was carried out for a geometry-optimized Pd4O11 structure.

Cell lengths 4.8785, 5.3669, 7.2732 Å; angles 104.20, 95.11, 109.92 degrees
Space group P1 (No. 1)
Symmetry-distinct sites (fractional):
Pd1 0.0000 0.0000 0.0000 [1 per cell]
Pd2 0.1602 0.4792 0.8426 [1 per cell]
Pd3 0.4754 0.5239 0.4800 [1 per cell]
Pd4 0.6371 0.9743 0.3445 [1 per cell]
O1 0.0216 0.9233 0.2696 [1 per cell]
O2 0.1025 0.5823 0.5680 [1 per cell]
O3 0.2308 0.4080 0.0979 [1 per cell]
O4 0.2795 0.0826 0.4030 [1 per cell]
O5 0.3711 0.9140 0.9345 [1 per cell]
O6 0.5414 0.4242 0.7741 [1 per cell]
O7 0.6194 0.0517 0.0785 [1 per cell]
O8 0.6724 0.9516 0.6203 [1 per cell]
O9 0.7883 0.5618 0.9199 [1 per cell]
O10 0.8515 0.4483 0.4250 [1 per cell]
O11 0.9629 0.0447 0.7145 [1 per cell]

Results
As for the energy above the most stable polymorph in this dataset: 0.0160 eV/atom.


A plane-wave DFT calculation with GGA-PBE was carried out for a geometry-optimized PdO4 structure.

Cell lengths 3.9532, 5.8672, 5.0452 Å; angles 90.00, 115.92, 90.00 degrees
Space group P2/c (No. 13)
Symmetry-distinct sites (fractional):
Pd1 0.0000 0.1656 0.2500 [2 per cell]
O1 0.3074 0.1262 0.7029 [4 per cell]
O2 0.3217 0.3940 0.1601 [4 per cell]

Results
As for the total energy: -50.384 eV for the cell shown.


A plane-wave DFT calculation with GGA-PBE was carried out for a geometry-optimized PdO2 structure.

Cell lengths 4.5740, 4.5740, 3.1633 Å; angles 90.00, 90.00, 90.00 degrees
Space group P4_2/mnm (No. 136)
Symmetry-distinct sites (fractional):
Pd1 0.0000 0.0000 0.0000 [2 per cell]
O1 0.1923 0.1923 0.5000 [4 per cell]

Results
As for the total energy: -31.699 eV for the cell shown.


A plane-wave DFT calculation with GGA-PBE was carried out for a geometry-optimized Pd5O structure.

Cell lengths 5.0774, 5.0774, 4.5424 Å; angles 90.00, 90.00, 120.00 degrees
Space group P6/mmm (No. 191)
Symmetry-distinct sites (fractional):
Pd1 0.0000 0.5000 0.0000 [3 per cell]
Pd2 0.3333 0.6667 0.5000 [2 per cell]
O1 0.0000 0.0000 0.5000 [1 per cell]

Results
As for the total energy: -26.287 eV for the cell shown.


A plane-wave DFT calculation with GGA-PBE was carried out for a geometry-optimized PdO structure.

Cell lengths 3.1344, 3.1344, 4.6791 Å; angles 90.00, 90.00, 90.00 degrees
Space group I4/mmm (No. 139)
Symmetry-distinct sites (fractional):
Pd1 0.0000 0.0000 0.0000 [2 per cell]
O1 0.0000 0.0000 0.5000 [2 per cell]

Results
As for the total energy: -20.184 eV for the cell shown.


A plane-wave DFT calculation with GGA-PBE was carried out for a geometry-optimized Pd4O11 structure.

Cell lengths 4.9800, 5.3355, 7.5292 Å; angles 108.57, 95.38, 111.00 degrees
Space group P1 (No. 1)
Symmetry-distinct sites (fractional):
Pd1 0.0000 0.0000 0.0000 [1 per cell]
Pd2 0.0053 0.3068 0.6881 [1 per cell]
Pd3 0.5270 0.5607 0.5344 [1 per cell]
Pd4 0.8488 0.5474 0.1829 [1 per cell]
O1 0.0556 0.0032 0.2758 [1 per cell]
O2 0.1581 0.6478 0.5970 [1 per cell]
O3 0.2207 0.4714 0.1179 [1 per cell]
O4 0.3360 0.1181 0.3861 [1 per cell]
O5 0.3919 0.9993 0.9347 [1 per cell]
O6 0.4832 0.6237 0.2616 [1 per cell]
O7 0.5145 0.4601 0.7767 [1 per cell]
O8 0.6182 0.0992 0.0857 [1 per cell]
O9 0.7938 0.9672 0.7370 [1 per cell]
O10 0.7975 0.5424 0.8813 [1 per cell]
O11 0.8985 0.4810 0.4522 [1 per cell]

Results
As for the energy above the most stable polymorph in this dataset: 0.0494 eV/atom.


A plane-wave DFT calculation with GGA-PBE was carried out for a geometry-optimized PdO2 structure.

Cell lengths 9.9290, 3.0802, 4.3004 Å; angles 90.00, 90.00, 90.00 degrees
Space group Pnma (No. 62)
Symmetry-distinct sites (fractional):
Pd1 0.1326 0.2500 0.0134 [4 per cell]
O1 0.0415 0.7500 0.2391 [4 per cell]
O2 0.1952 0.7500 0.7515 [4 per cell]

Results
As for the total energy: -63.899 eV for the cell shown.


A plane-wave DFT calculation with GGA-PBE was carried out for a geometry-optimized PdO2 structure.

Cell lengths 4.4052, 4.4052, 4.4052 Å; angles 90.00, 90.00, 90.00 degrees
Space group Pn-3m (No. 224, origin choice 2)
Symmetry-distinct sites (fractional):
Pd1 0.2500 0.2500 0.2500 [2 per cell]
O1 0.0000 0.0000 0.0000 [4 per cell]

Results
As for the total energy: -28.311 eV for the cell shown.